# SrLi2Hg, relaxed, DFT PBE
data_SrLi2Hg
_chemical_formula_sum 'Sr1 Li2 Hg1'
_space_group_name_H-M_alt 'P 1'
_space_group_IT_number 1
_cell_length_a 4.027
_cell_length_b 5.022
_cell_length_c 5.636
_cell_angle_alpha 90.00
_cell_angle_beta 98.14
_cell_angle_gamma 90.00
loop_
_space_group_symop_operation_xyz
'x,y,z'
loop_
_atom_site_label
_atom_site_type_symbol
_atom_site_fract_x
_atom_site_fract_y
_atom_site_fract_z
_atom_site_occupancy
Sr1 Sr 0.000 0.000 0.000 1
Li1 Li 0.330 0.500 0.691 1
Li2 Li 0.670 0.500 0.309 1
Hg1 Hg 0.500 0.000 0.500 1
# Energy of formation   -0.73 eV per formula unit
# M_tot   0.00 μB/f.u.
# Crystal system   monoclinic
# Space-group type   P2/m, No. 10
# DOS(E_F)   0.52 states/eV/atom

***

# Ce2Ga2Si4Ni, relaxed, DFT PBE
data_Ce2Ga2Si4Ni
_chemical_formula_sum 'Ce2 Ga2 Si4 Ni1'
_space_group_name_H-M_alt 'P 1'
_space_group_IT_number 1
_cell_length_a 6.073
_cell_length_b 6.073
_cell_length_c 6.073
_cell_angle_alpha 120.06
_cell_angle_beta 120.06
_cell_angle_gamma 89.90
loop_
_space_group_symop_operation_xyz
'x,y,z'
loop_
_atom_site_label
_atom_site_type_symbol
_atom_site_fract_x
_atom_site_fract_y
_atom_site_fract_z
_atom_site_occupancy
Ce1 Ce 0.250 0.750 0.500 1
Ce2 Ce 0.750 0.250 0.500 1
Ga1 Ga 0.215 0.215 0.000 1
Ga2 Ga 0.785 0.785 0.000 1
Si1 Si 0.219 0.219 0.439 1
Si2 Si 0.219 0.781 0.000 1
Si3 Si 0.781 0.219 0.000 1
Si4 Si 0.781 0.781 0.561 1
Ni1 Ni 0.500 0.500 0.000 1
# M_tot   0.00 μB/f.u.
# Crystal system   tetragonal
# Space-group type   I4/mmm, No. 139
# DOS(E_F)   1.02 states/eV/atom

***

# AcNd2TeO8, relaxed, DFT PBE
data_AcNd2TeO8
_chemical_formula_sum 'Ac1 Nd2 Te1 O8'
_space_group_name_H-M_alt 'P 1'
_space_group_IT_number 1
_cell_length_a 4.439
_cell_length_b 5.397
_cell_length_c 7.544
_cell_angle_alpha 90.03
_cell_angle_beta 90.04
_cell_angle_gamma 94.16
loop_
_space_group_symop_operation_xyz
'x,y,z'
loop_
_atom_site_label
_atom_site_type_symbol
_atom_site_fract_x
_atom_site_fract_y
_atom_site_fract_z
_atom_site_occupancy
Ac1 Ac 0.000 0.000 0.000 1
Nd1 Nd 0.499 0.500 0.737 1
Nd2 Nd 0.501 0.500 0.263 1
Te1 Te 0.000 0.000 0.500 1
O1 O 0.085 0.769 0.303 1
O2 O 0.086 0.770 0.697 1
O3 O 0.383 0.201 0.500 1
O4 O 0.486 0.259 0.000 1
O5 O 0.514 0.741 0.000 1
O6 O 0.617 0.799 0.500 1
O7 O 0.914 0.230 0.303 1
O8 O 0.915 0.231 0.697 1
# M_tot   1.05 μB/f.u.
# Crystal system   triclinic
# Space-group type   P-1, No. 2
# DOS(E_F)   0.36 states/eV/atom

***

Sequential E output: -1.6353; -5.5529; -7.0884 eV/atom